Record 1
! PBEsol YNiPS2, relaxed; values from VASP
! Formation energy without anion corrections (meV/atom): 662
! Total magnetization (μB/f.u.): 1.5
! Fermi-level density of states (states/eV per atom): 2.220
&SYSTEM
  ibrav = 0, nat = 5, ntyp = 4
/
ATOMIC_SPECIES
Y 88.91 Y.upf
Ni 58.69 Ni.upf
S 32.06 S.upf
P 30.97 P.upf
CELL_PARAMETERS angstrom
5.070 0.000 0.000
0.000 5.070 0.000
0.000 0.000 5.192
ATOMIC_POSITIONS angstrom
Y 0.000 0.000 0.000
Ni 2.535 2.535 2.596
S 0.000 2.535 0.000
S 2.535 0.000 0.000
P 0.000 0.000 2.596


Record 2
! PBEsol ZnNiPS2, relaxed; values from VASP
! Formation energy without anion corrections (meV/atom): 441
! Total magnetization (μB/f.u.): 0.0
! Fermi-level density of states (states/eV per atom): 0.674
&SYSTEM
  ibrav = 0, nat = 5, ntyp = 4
/
ATOMIC_SPECIES
Ni 58.69 Ni.upf
Zn 65.41 Zn.upf
S 32.06 S.upf
P 30.97 P.upf
CELL_PARAMETERS angstrom
-2.758 -1.283 2.736
3.385 -1.120 2.888
-0.157 4.210 1.817
ATOMIC_POSITIONS angstrom
Ni 0.000 0.000 0.000
Zn 0.235 0.904 3.720
S -0.078 2.105 0.908
S 1.693 -0.560 1.444
P -1.379 -0.642 1.368


Record 3
! PBEsol Ni6Sb2P, relaxed; values from VASP
! Formation energy without anion corrections (meV/atom): -266
! Total magnetization (μB/f.u.): 0.0
! Fermi-level density of states (states/eV per atom): 0.722
&SYSTEM
  ibrav = 0, nat = 9, ntyp = 3
/
ATOMIC_SPECIES
Ni 58.69 Ni.upf
P 30.97 P.upf
Sb 121.76 Sb.upf
CELL_PARAMETERS angstrom
-2.837 0.223 -1.902
-3.103 -3.541 4.212
0.085 6.287 0.611
ATOMIC_POSITIONS angstrom
Ni -1.938 1.763 3.097
Ni 0.030 2.250 0.219
Ni -1.110 -1.268 1.508
Ni -2.123 0.752 0.175
Ni -1.353 4.931 -0.483
Ni -3.797 -2.603 2.278
P 0.000 0.000 0.000
Sb -3.459 -0.154 2.061
Sb -2.396 3.122 0.860


Record 4
! PBEsol Sc2NiP6, relaxed; values from VASP
! Total magnetization (μB/f.u.): 0.0
! Fermi-level density of states (states/eV per atom): 0.484
! ΔH_f (0 K) (meV/atom): -435
&SYSTEM
  ibrav = 0, nat = 9, ntyp = 3
/
ATOMIC_SPECIES
Ni 58.69 Ni.upf
P 30.97 P.upf
Sc 44.96 Sc.upf
CELL_PARAMETERS angstrom
3.316 0.000 0.000
0.000 6.812 0.000
0.000 -3.406 5.899
ATOMIC_POSITIONS angstrom
Ni 0.000 0.000 0.000
P 1.658 2.558 4.431
P 1.658 -0.848 1.468
P 1.658 1.695 0.000
P 0.000 1.187 2.057
P 0.000 -2.218 3.842
P 0.000 4.437 0.000
Sc 1.658 3.406 1.966
Sc 1.658 0.000 3.933